## LaP2PbCl (PBE)

Data for LaP2PbCl after structural relaxation.

abc: 5.7922 5.7922 5.5067
angles: 90.00 90.00 90.00
Last column: nearest neighbours and their distance in Å.
Fractional coordinates of all 5 atoms:
La (0.0000, 0.0000, 0.0000)  2 Cl 2.75, 4 P 2.90
P (0.0000, 0.5000, 0.0000)  2 La 2.90
P (0.5000, 0.0000, 0.0000)  2 La 2.90
Pb (0.5000, 0.5000, 0.5000)  8 P 4.00, 4 Cl 4.10
Cl (0.0000, 0.0000, 0.5000)  2 La 2.75

Output
Symmetry ... P4/mmm (123)
Total magnetic moment ... 0.11 Bohr magnetons per cell
Polymorph energy (0 for the lowest one) ... 4.9 kJ/mol of atoms
Formation energy (no corrections) ... -111 meV per atom